A geometry-optimized Ba2IrPb structure, computed with PBEsol.

a b c (Å): 4.2130 4.2130 9.6292
angles (deg): 77.36 77.36 60.00
Fractional positions:
1 Pb 0.0000 0.0000 0.0000
2 Ir 0.5000 0.5000 0.5000
3 Ba 0.2302 0.2302 0.3093
4 Ba 0.7698 0.7698 0.6907

Summary:
The space group is R-3m. The calculation puts the energy of formation at 0.106 eV/atom. The calculated total energy is -17.69 eV for the cell shown. As for the calculated density: 7.816 g cm⁻³.